Entry from the Alexandria database: a geometry-optimized Li2Ni3SbO8 structure (PBE with a Hubbard U).

## Properties
mass density = 4.97 Mg/m³
crystal system = cubic
uncorrected energy = -5.19 eV/atom
energy above the most stable polymorph in this dataset = 0.021 eV/atom

The structure in CIF format:
```
data_Li2Ni3SbO8
_cell_length_a 8.377
_cell_length_b 8.377
_cell_length_c 8.377
_cell_angle_alpha 90.00
_cell_angle_beta 90.00
_cell_angle_gamma 90.00
_symmetry_space_group_name_H-M 'P 43 3 2'
_symmetry_Int_Tables_number 212
_symmetry_space_group_name_Hall 'P 4acd 2ab 3'
loop_
_atom_site_label
_atom_site_type_symbol
_atom_site_fract_x
_atom_site_fract_y
_atom_site_fract_z
Li1 Li 0.000 0.000 0.000
Ni1 Ni 0.122 0.128 0.625
Sb1 Sb 0.125 0.875 0.375
O1 O 0.105 0.115 0.380
O2 O 0.110 0.610 0.890
```